{
  "formula": "Co2BiO6",
  "functional": "PBE with a Hubbard U",
  "state": "relaxed",
  "lattice": [[4.930, 0.000, 0.000], [-2.465, 4.270, 0.000], [0.000, 0.000, 4.645]],
  "species": ["Co", "Co", "Bi", "O", "O", "O", "O", "O", "O"],
  "frac_coords": [[0.333, 0.667, 0.000], [0.667, 0.333, 0.000], [0.000, 0.000, 0.500], [0.000, 0.376, 0.223], [0.000, 0.624, 0.777], [0.376, 0.000, 0.223], [0.376, 0.376, 0.777], [0.624, 0.000, 0.777], [0.624, 0.624, 0.223]],
  "vol_a3_per_atom": 10.87,
  "final_energy_ev_per_atom": -5.661,
  "space_group": "No. 162"
}